# ReAu2Cl (PBE, optimized geometry)
# **Distance to the lowest polymorph of the same formula**: 495.2 meV/atom
# **Raw total energy**: -69.78 eV/cell
# **Formation energy (no corrections)**: 3.40 eV/f.u.
data_ReAu2Cl
_chemical_formula_sum 'Re4 Au8 Cl4'
_space_group_name_H-M_alt 'I -4 2 d'
_space_group_IT_number 122
_space_group_name_Hall 'I -4 2bw'
_cell_length_a 8.851
_cell_length_b 8.851
_cell_length_c 4.492
_cell_angle_alpha 90.00
_cell_angle_beta 90.00
_cell_angle_gamma 90.00
loop_
_atom_site_label
_atom_site_type_symbol
_atom_site_fract_x
_atom_site_fract_y
_atom_site_fract_z
Re1 Re 0.000 0.000 0.000
Au1 Au 0.156 0.250 0.125
Cl1 Cl 0.000 0.000 0.500